[1]
TaBeCl4: optimized geometry, PBE.

The volume is 126.29 Å³/f.u. As for the total magnetization: 0.1656 μB per atom. The calculation puts the formation energy from raw total energies at 1.34 eV per atom.

a b c (Å): 5.631 5.631 5.631
angles (deg): 60.00 60.00 60.00
Each line ends with the local moment (μB).
Fractional coordinates of all 6 atoms:
Ta1 0.750 0.750 0.750  1.73
Be1 0.000 0.000 0.000  -0.06
Cl1 0.872 0.376 0.376  -0.31
Cl2 0.376 0.376 0.872  -0.31
Cl3 0.376 0.872 0.376  -0.31
Cl4 0.376 0.376 0.376  -0.31

***

[2]
Ta2Be2Cl: optimized geometry, PBE.

As for the energy above the most stable polymorph in this dataset: 0.201 eV per atom. The volume is 72.40 Å³/f.u. As for the total magnetization: 0.0000 μB per atom. The calculation puts the formation energy from raw total energies at 0.47 eV per atom.

a b c (Å): 2.908 2.908 8.805
angles (deg): 80.50 80.50 90.00
Fractional coordinates of all 5 atoms:
Be1 0.750 0.250 0.500
Be2 0.250 0.750 0.500
Cl1 0.000 0.000 0.000
Ta1 0.376 0.376 0.247
Ta2 0.624 0.624 0.753

***

[3]
TaBeCl: optimized geometry, PBE.

As for the energy above the most stable polymorph in this dataset: 0.067 eV per atom. The volume is 58.47 Å³/f.u. As for the total magnetization: 0.0000 μB per atom. The calculation puts the formation energy from raw total energies at -0.32 eV per atom.

a b c (Å): 3.752 17.497 3.563
angles (deg): 90.00 90.00 90.00
Fractional coordinates of all 12 atoms:
Be1 0.000 0.464 0.084
Be2 0.000 0.536 0.584
Be3 0.500 0.964 0.084
Be4 0.500 0.036 0.584
Cl1 0.000 0.347 0.861
Cl2 0.000 0.653 0.361
Cl3 0.500 0.847 0.861
Cl4 0.500 0.153 0.361
Ta1 0.000 0.057 0.087
Ta2 0.000 0.943 0.587
Ta3 0.500 0.557 0.087
Ta4 0.500 0.443 0.587